Density functional theory data (PBE) for a relaxed La2NdSi2Ge2Pd4 crystal.

Calculated values
**M_tot**: 0.02 μB per formula unit
**Offset from the most stable computed form**: 0 meV per atom

Unit cell a=12.9558 b=12.9558 c=12.9558 alpha=161.46 beta=160.64 gamma=26.93
With the nearest neighbours (Å) after each atom.
Fractional positions:
Pd 0.2495 0.2495 0.0000  4 Si 2.45-2.55
Pd 0.8995 0.3995 0.5000  1 Si 2.46, 2 Ge 2.53
Pd 0.7505 0.7505 0.0000  4 Si 2.45-2.55
Pd 0.1005 0.6005 0.5000  1 Si 2.46, 2 Ge 2.53
Si 0.1982 0.6982 0.5000  5 Pd 2.45-2.55
Si 0.8018 0.3018 0.5000  5 Pd 2.45-2.55
La 0.3520 0.8520 0.5000  8 Pd 3.24-3.36, 2 Ge 3.25, 4 Si 3.27
La 0.6480 0.1480 0.5000  8 Pd 3.24-3.36, 2 Ge 3.25, 4 Si 3.27
Nd 0.0000 0.0000 0.0000  8 Ge 3.26, 4 Pd 3.28
Ge 0.5494 0.5494 0.0000  1 Ge 2.49, 2 Pd 2.53
Ge 0.4506 0.4506 0.0000  1 Ge 2.49, 2 Pd 2.53


Density functional theory data (PBE) for a relaxed ScTlRe2O8 crystal.

Calculated values
**M_tot**: 0.52 μB per formula unit

Unit cell a=5.8088 b=5.8088 c=7.1592 alpha=90.00 beta=90.00 gamma=120.00
With the nearest neighbours (Å) after each atom.
Fractional positions:
O 0.8332 0.1668 0.1709  1 Re 1.79
O 0.3336 0.1668 0.1709  1 Re 1.79
O 0.1668 0.3336 0.8291  1 Re 1.79
O 0.6664 0.8332 0.8291  1 Re 1.79
O 0.1668 0.8332 0.8291  1 Re 1.79
O 0.6667 0.3333 0.5078  1 Re 1.77
O 0.8332 0.6664 0.1709  1 Re 1.79
O 0.3333 0.6667 0.4922  1 Re 1.77
Sc 0.0000 0.0000 0.0000  6 O 2.08
Re 0.3333 0.6667 0.7391  4 O 1.77-1.79
Re 0.6667 0.3333 0.2609  4 O 1.77-1.79
Tl 0.0000 0.0000 0.5000  6 O 2.89


Density functional theory data (PBE) for a relaxed BeZnAsIr crystal.

Calculated values
**M_tot**: 0.00 μB per formula unit
**Offset from the most stable computed form**: 0 meV per atom

Unit cell a=4.2653 b=4.2653 c=4.2653 alpha=60.00 beta=60.00 gamma=60.00
With the nearest neighbours (Å) after each atom.
Fractional positions:
Ir 0.0000 0.0000 0.0000  4 As 2.61, 4 Be 2.61
Zn 0.5000 0.5000 0.5000  4 As 2.61, 4 Be 2.61
As 0.2500 0.2500 0.2500  4 Zn 2.61, 4 Ir 2.61
Be 0.7500 0.7500 0.7500  4 Zn 2.61, 4 Ir 2.61


Density functional theory data (PBE) for a relaxed CsHoPdSe3 crystal.

Calculated values
**M_tot**: 0.00 μB per formula unit
**Offset from the most stable computed form**: 0 meV per atom

Unit cell a=8.8845 b=8.8845 c=9.8652 alpha=90.00 beta=90.00 gamma=152.31
With the nearest neighbours (Å) after each atom.
Fractional positions:
Cs 0.7453 0.2547 0.2500  6 Se 3.60-3.66
Cs 0.2547 0.7453 0.7500  6 Se 3.60-3.66
Pd 0.0010 0.9990 0.2500  4 Se 2.49-2.60
Pd 0.9990 0.0010 0.7500  4 Se 2.49-2.60
Ho 0.5000 0.5000 0.0000  6 Se 2.88-2.89
Ho 0.5000 0.5000 0.5000  6 Se 2.88-2.89
Se 0.1047 0.8953 0.0747  1 Pd 2.49
Se 0.8953 0.1047 0.9253  1 Pd 2.49
Se 0.5862 0.4138 0.7500  2 Pd 2.60, 2 Ho 2.88
Se 0.8953 0.1047 0.5747  1 Pd 2.49
Se 0.1047 0.8953 0.4253  1 Pd 2.49
Se 0.4138 0.5862 0.2500  2 Pd 2.60, 2 Ho 2.88


Density functional theory data (PBE) for a relaxed NiSe2Br crystal.

Calculated values
**M_tot**: 0.01 μB per formula unit

Unit cell a=3.6168 b=6.2422 c=9.8982 alpha=93.47 beta=99.45 gamma=106.80
With the nearest neighbours (Å) after each atom.
Fractional positions:
Br 0.4598 0.2449 0.6375  1 Ni 2.37
Br 0.5402 0.7551 0.3625  1 Ni 2.37
Ni 0.6021 0.3121 0.8813  5 Se 2.34-2.44, 1 Br 2.37
Ni 0.3979 0.6879 0.1187  5 Se 2.34-2.44, 1 Br 2.37
Se 0.7664 0.4229 0.1187  3 Ni 2.34-2.41
Se 0.2336 0.5771 0.8813  3 Ni 2.34-2.41
Se 0.0331 0.9604 0.1182  1 Se 2.41, 2 Ni 2.43-2.44
Se 0.9669 0.0396 0.8818  1 Se 2.41, 2 Ni 2.43-2.44


Density functional theory data (PBE) for a relaxed Hf4Bi2PN crystal.

Calculated values
**M_tot**: 0.00 μB per formula unit

Unit cell a=3.6195 b=3.6195 c=13.7560 alpha=90.00 beta=90.00 gamma=120.00
With the nearest neighbours (Å) after each atom.
Fractional positions:
Hf 0.6667 0.3333 0.1022  3 P 2.52
Hf 0.3333 0.6667 0.8978  3 P 2.52
Hf 0.6667 0.3333 0.4222  3 N 2.35
Hf 0.3333 0.6667 0.5778  3 N 2.35
Bi 0.6667 0.3333 0.7384  6 Hf 3.03-3.04
Bi 0.3333 0.6667 0.2616  6 Hf 3.03-3.04
P 0.0000 0.0000 0.0000  6 Hf 2.52
N 0.0000 0.0000 0.5000  6 Hf 2.35


Density functional theory data (PBE) for a relaxed Er5CSe4 crystal.

Calculated values
**M_tot**: 0.03 μB per formula unit

Unit cell a=6.8647 b=6.8647 c=6.8647 alpha=99.52 beta=99.52 gamma=132.00
With the nearest neighbours (Å) after each atom.
Fractional positions:
Se 0.8054 0.5903 0.3978  6 Er 2.82-3.09
Se 0.4076 0.8054 0.2150  6 Er 2.82-3.09
Se 0.1926 0.4076 0.6022  6 Er 2.82-3.09
Se 0.5903 0.1926 0.7850  6 Er 2.82-3.09
Er 0.9078 0.2577 0.1676  1 C 2.43
Er 0.2577 0.0901 0.3498  1 C 2.43
Er 0.4993 0.4993 0.0000  2 C 2.79-2.80, 4 Se 2.84
Er 0.7402 0.9078 0.6502  1 C 2.43
Er 0.0901 0.7402 0.8324  1 C 2.43
C 0.9987 0.9987 0.0000  4 Er 2.43


Density functional theory data (PBE) for a relaxed RbZn crystal.

Unit cell a=6.2542 b=4.1052 c=6.5341 alpha=90.00 beta=90.00 gamma=90.00
With the nearest neighbours (Å) after each atom.
Fractional positions:
Zn 0.0350 0.0000 0.0000  6 Rb 3.58-3.89
Zn 0.7983 0.5000 0.5000  6 Rb 3.58-3.89
Rb 0.5640 0.5000 0.0000  6 Zn 3.58-3.89
Rb 0.2694 0.0000 0.5000  6 Zn 3.58-3.89


Number 1: VASP energy -5.983 eV per atom. Number 2: VASP energy -7.874 eV per atom. Number 3: VASP energy -4.489 eV per atom. Number 4: VASP energy -4.680 eV per atom. Number 5: VASP energy -3.790 eV per atom. Number 6: VASP energy -8.456 eV per atom. Number 7: VASP energy -6.105 eV per atom. Number 8: VASP energy -0.781 eV per atom.